Ta2CrSi after structural relaxation, computed with PBE.

It has space group Cmmm (No. 65), with a = 5.548 Å, b = 7.064 Å, c = 3.124 Å, α = 90.00°, β = 90.00° and γ = 90.00°. The asymmetric unit holds Ta at (0.250, 0.250, 0.000), Cr at (0.000, 0.000, 0.500) and Si at (0.000, 0.500, 0.500).

The mass density is 12.0 Mg/m³. As for the raw formation energy: -0.116 eV per atom. The value obtained for the density of states at the Fermi level is 6.44 states/eV/cell.

---

TaCrSi4 after structural relaxation, computed with PBE.

It has space group C2/m (No. 12), with a = 8.503 Å, b = 3.176 Å, c = 6.424 Å, α = 90.00°, β = 111.87° and γ = 90.00°. The asymmetric unit holds Ta at (0.000, 0.000, 0.000), Cr at (0.000, 0.000, 0.500), Si at (0.164, 0.500, 0.345) and Si at (0.164, 0.500, 0.816).

The mass density is 7.1 Mg/m³. As for the raw formation energy: -0.344 eV per atom. Its relative energy among the computed polymorphs is 0 meV/atom. The value obtained for the density of states at the Fermi level is 3.87 states/eV/cell.

---

Ta2CrSi after structural relaxation, computed with PBE.

It has space group Cm (No. 8), with a = 9.666 Å, b = 3.229 Å, c = 4.300 Å, α = 90.00°, β = 114.54° and γ = 90.00°. The asymmetric unit holds Ta at (0.000, 0.000, 0.000), Ta at (0.239, 0.000, 0.743), Cr at (0.007, 0.500, 0.497) and Si at (0.276, 0.500, 0.280).

The mass density is 12.0 Mg/m³. As for the raw formation energy: -0.156 eV per atom. The value obtained for the density of states at the Fermi level is 3.58 states/eV/cell.

---

TaCrSi after structural relaxation, computed with PBE.

It has space group P3m1 (No. 156), with a = 4.2376 Å, b = 4.2376 Å, c = 2.7806 Å, α = 90.00°, β = 90.00° and γ = 120.00°. The asymmetric unit holds Ta at (0.0000, 0.0000, 0.0000), Cr at (0.3333, 0.6667, 0.3533) and Si at (0.6667, 0.3333, 0.4714).

The mass density is 10.0 Mg/m³. As for the raw formation energy: -0.103 eV per atom. The value obtained for the density of states at the Fermi level is 2.59 states/eV/cell.

---

TaCrSi after structural relaxation, computed with PBE.

It has space group F-43m (No. 216), with a = 5.861 Å, b = 5.861 Å, c = 5.861 Å, α = 90.00°, β = 90.00° and γ = 90.00°. The asymmetric unit holds Ta at (0.000, 0.000, 0.000), Cr at (0.000, 0.000, 0.500) and Si at (0.250, 0.250, 0.250).

The mass density is 8.6 Mg/m³. As for the raw formation energy: 0.197 eV per atom. The value obtained for the density of states at the Fermi level is 11.92 states/eV/cell.

---

TaCr4Si after structural relaxation, computed with PBE.

It has space group F-43m (No. 216), with a = 6.774 Å, b = 6.774 Å, c = 6.774 Å, α = 90.00°, β = 90.00° and γ = 90.00°. The asymmetric unit holds Ta at (0.000, 0.000, 0.000), Cr at (0.124, 0.124, 0.376) and Si at (0.250, 0.250, 0.750).

The mass density is 8.9 Mg/m³. As for the raw formation energy: -0.049 eV per atom. Its relative energy among the computed polymorphs is 0 meV/atom. The value obtained for the density of states at the Fermi level is 14.70 states/eV/cell.